[1]
# Ac6Co2Pt

A relaxed structure of Ac6Co2Pt (PBE, the Alexandria database).

Output
Energy relative to the elements (eV per atom): -0.294
Space-group type: No. 162
Final energy (eV/f.u.): -47.6

Geometry as extended XYZ:
```
9
Lattice="7.4635 0.0000 0.0000 -3.7318 6.4636 0.0000 0.0000 0.0000 6.9348" Properties=species:S:1:pos:R:3 pbc="T T T"
Ac -1.2958 2.2443 1.5597
Ac -2.4360 4.2193 5.3751
Ac 2.5915 0.0000 1.5597
Ac 1.2958 2.2443 5.3751
Ac 4.8720 0.0000 5.3751
Ac 2.4360 4.2193 1.5597
Co 0.0000 4.3091 0.0000
Co 3.7318 2.1545 0.0000
Pt 0.0000 0.0000 0.0000
```

***

[2]
# Ac8CoPtRh2

A relaxed structure of Ac8CoPtRh2 (PBE, the Alexandria database).

Output
Energy relative to the elements (eV per atom): -0.475
Space-group type: No. 10
Final energy (eV/f.u.): -66.4

Geometry as extended XYZ:
```
12
Lattice="7.0078 0.0000 0.0000 0.0000 8.7959 0.0000 -0.0450 0.0000 7.1363" Properties=species:S:1:pos:R:3 pbc="T T T"
Ac 1.5411 0.0000 2.3351
Ac 1.5969 4.3980 2.2730
Ac 1.8855 2.2979 5.8904
Ac 1.8855 6.4980 5.8904
Ac 5.0774 2.2979 1.2459
Ac 5.0774 6.4980 1.2459
Ac 5.3659 4.3980 4.8633
Ac 5.4217 0.0000 4.8013
Co 3.5039 4.3980 0.0000
Pt 3.5039 0.0000 0.0000
Rh -0.0225 2.2187 3.5682
Rh -0.0225 6.5772 3.5682
```

***

What is the energy relative to the elements in the second record?
-0.475 eV per atom